Entry 1:
First-principles (PBE-GGA) data for crystalline Sr2InFe at its relaxed geometry, as listed in Alexandria via LeMat-Bulk.

Structure (POSCAR):
```
Sr2InFe
1.0
5.694 0.000 0.000
0.000 5.694 0.000
0.000 0.000 3.818
Sr In Fe
2 1 1
Direct
0.000 0.500 0.000 Sr
0.500 0.000 0.000 Sr
0.000 0.000 0.500 In
0.500 0.500 0.500 Fe
```

Properties
Mass density = 4.64 g/cm³
Calculated total energy = -3.382 eV/atom
ΔE_f = 0.26 eV/atom

=====

Entry 2:
First-principles (PBE-GGA) data for crystalline AcPmRu at its relaxed geometry, as listed in Alexandria via LeMat-Bulk.

Structure (POSCAR):
```
AcPmRu
1.0
7.113 -2.152 0.000
7.113 2.152 0.000
-1.515 0.000 6.191
Ac Pm Ru
2 2 2
Direct
0.102 0.102 0.317 Ac
0.898 0.898 0.683 Ac
0.341 0.341 0.166 Pm
0.659 0.659 0.834 Pm
0.266 0.266 0.689 Ru
0.734 0.734 0.311 Ru
```

Properties
Mass density = 8.29 g/cm³
Calculated total energy = -6.228 eV/atom
ΔE_f = -0.18 eV/atom

=====

Entry 3:
First-principles (PBE-GGA) data for crystalline TbY6Ho3Sc2 at its relaxed geometry, as listed in Alexandria via LeMat-Bulk.

Structure (POSCAR):
```
TbY6Ho3Sc2
1.0
3.042 -5.264 0.000
3.042 5.264 0.000
-2.021 0.000 11.442
Tb Y Ho Sc
1 6 3 2
Direct
0.000 0.000 0.000 Tb
0.083 0.418 0.245 Y
0.253 0.253 0.755 Y
0.418 0.083 0.245 Y
0.582 0.917 0.755 Y
0.747 0.747 0.245 Y
0.917 0.582 0.755 Y
0.167 0.833 0.500 Ho
0.500 0.500 0.500 Ho
0.833 0.167 0.500 Ho
0.333 0.667 0.000 Sc
0.667 0.333 0.000 Sc
```

Properties
Mass density = 5.79 g/cm³
Calculated total energy = -5.774 eV/atom
ΔE_f = 0.04 eV/atom

=====

Entry 4:
First-principles (PBE-GGA) data for crystalline LaAl2Hg at its relaxed geometry, as listed in Alexandria via LeMat-Bulk.

Structure (POSCAR):
```
LaAl2Hg
1.0
2.260 1.305 5.539
-2.260 1.305 5.539
0.000 -2.610 5.539
La Al Hg
1 2 1
Direct
0.000 0.000 0.000 La
0.475 0.475 0.475 Al
0.781 0.781 0.781 Al
0.219 0.219 0.219 Hg
```

Properties
Mass density = 6.67 g/cm³
Calculated total energy = -3.519 eV/atom
ΔE_f = -0.34 eV/atom